An optimized crystal structure of Na3MnIr. Source: Alexandria via LeMat-Bulk, functional PBE.

Values from the calculation:
Energy above the lowest structure with this stoichiometry ... 0 meV/atom
DFT formation energy ... 1135.5 meV per atom
Space-group type ... Pm-3m
Crystal system ... cubic

a = 5.419 Å, b = 5.419 Å, c = 5.419 Å
α = 90.00°, β = 90.00°, γ = 90.00°
Site moments in Bohr magnetons follow the coordinates.
Sites, in units of the cell vectors:
Na (0.000, 0.500, 0.000)  -0.01
Na (0.000, 0.000, 0.500)  -0.01
Na (0.500, 0.000, 0.000)  -0.02
Ir (0.000, 0.000, 0.000)  0.47
Mn (0.500, 0.500, 0.500)  4.44

An optimized crystal structure of KPb2NO. Source: Alexandria via LeMat-Bulk, functional PBE.

Values from the calculation:
Space-group type ... P4/mmm
Crystal system ... tetragonal
Formation energy (no corrections) ... 3.4 eV/f.u.

a = 4.794 Å, b = 5.459 Å, c = 4.794 Å
α = 90.00°, β = 90.00°, γ = 90.00°
Sites, in units of the cell vectors:
Pb (0.000, 0.000, 0.500)
Pb (0.500, 0.000, 0.000)
K (0.500, 0.500, 0.500)
O (0.000, 0.500, 0.000)
N (0.000, 0.000, 0.000)

An optimized crystal structure of SmHfMo4. Source: Alexandria via LeMat-Bulk, functional PBE.

Values from the calculation:
DFT formation energy ... 62.6 meV per atom
Space-group type ... F-43m
Crystal system ... cubic

a = 5.461 Å, b = 5.461 Å, c = 5.461 Å
α = 60.00°, β = 60.00°, γ = 60.00°
Sites, in units of the cell vectors:
Mo (0.625, 0.625, 0.125)
Mo (0.625, 0.125, 0.625)
Mo (0.625, 0.625, 0.625)
Mo (0.125, 0.625, 0.625)
Hf (0.000, 0.000, 0.000)
Sm (0.250, 0.250, 0.250)

An optimized crystal structure of CsBaNO2. Source: Alexandria via LeMat-Bulk, functional PBE.

Values from the calculation:
Space-group type ... P4/mmm
Crystal system ... tetragonal
Formation energy (no corrections) ... 0.6 eV/f.u.

a = 4.624 Å, b = 4.624 Å, c = 4.455 Å
α = 90.00°, β = 90.00°, γ = 90.00°
Site moments in Bohr magnetons follow the coordinates.
Sites, in units of the cell vectors:
Cs (0.000, 0.000, 0.000)  0.02
Ba (0.500, 0.500, 0.500)  0.00
O (0.000, 0.500, 0.000)  0.02
O (0.500, 0.000, 0.000)  0.02
N (0.000, 0.000, 0.500)  0.20

An optimized crystal structure of TmScRhAu. Source: Alexandria via LeMat-Bulk, functional PBE.

Values from the calculation:
Energy above the lowest structure with this stoichiometry ... 0 meV/atom
DFT formation energy ... -890.5 meV per atom
Space-group type ... P4mm
Crystal system ... tetragonal

a = 3.422 Å, b = 3.422 Å, c = 6.686 Å
α = 90.00°, β = 90.00°, γ = 90.00°
Sites, in units of the cell vectors:
Tm (0.000, 0.000, 0.844)
Sc (0.000, 0.000, 0.369)
Rh (0.500, 0.500, 0.593)
Au (0.500, 0.500, 0.121)

An optimized crystal structure of Sr3Tm2Ge3O12. Source: Alexandria via LeMat-Bulk, functional PBE.

Values from the calculation:
Space-group type ... Ia-3d
Crystal system ... cubic
Formation energy (no corrections) ... -53.9 eV/f.u.

a = 11.403 Å, b = 11.403 Å, c = 11.403 Å
α = 109.47°, β = 109.47°, γ = 109.47°
Sites, in units of the cell vectors:
Sr (0.250, 0.375, 0.125)
Sr (0.750, 0.625, 0.875)
Sr (0.750, 0.125, 0.375)
Sr (0.125, 0.250, 0.375)
Sr (0.375, 0.750, 0.125)
Sr (0.250, 0.875, 0.625)
Sr (0.875, 0.750, 0.625)
Sr (0.625, 0.250, 0.875)
Sr (0.375, 0.125, 0.250)
Sr (0.625, 0.875, 0.750)
Sr (0.125, 0.375, 0.750)
Sr (0.875, 0.625, 0.250)
Tm (0.000, 0.000, 0.000)
Tm (0.500, 0.000, 0.500)
Tm (0.000, 0.500, 0.500)
Tm (0.500, 0.000, 0.000)
Tm (0.500, 0.500, 0.000)
Tm (0.500, 0.500, 0.500)
Tm (0.000, 0.000, 0.500)
Tm (0.000, 0.500, 0.000)
Ge (0.250, 0.625, 0.375)
Ge (0.750, 0.375, 0.625)
Ge (0.750, 0.875, 0.125)
Ge (0.375, 0.250, 0.625)
Ge (0.625, 0.750, 0.375)
Ge (0.250, 0.125, 0.875)
Ge (0.125, 0.750, 0.875)
Ge (0.875, 0.250, 0.125)
Ge (0.625, 0.375, 0.250)
Ge (0.375, 0.625, 0.750)
Ge (0.875, 0.125, 0.750)
Ge (0.125, 0.875, 0.250)
O (0.488, 0.381, 0.293)
O (0.512, 0.619, 0.707)
O (0.589, 0.196, 0.207)
O (0.911, 0.119, 0.607)
O (0.293, 0.488, 0.381)
O (0.304, 0.911, 0.293)
O (0.411, 0.804, 0.793)
O (0.089, 0.881, 0.393)
O (0.707, 0.512, 0.619)
O (0.696, 0.089, 0.707)
O (0.012, 0.304, 0.893)
O (0.207, 0.589, 0.196)
O (0.119, 0.012, 0.207)
O (0.988, 0.696, 0.107)
O (0.793, 0.411, 0.804)
O (0.881, 0.988, 0.793)
O (0.607, 0.911, 0.119)
O (0.196, 0.488, 0.607)
O (0.393, 0.089, 0.881)
O (0.804, 0.512, 0.393)
O (0.893, 0.012, 0.304)
O (0.381, 0.589, 0.893)
O (0.107, 0.988, 0.696)
O (0.619, 0.411, 0.107)
O (0.381, 0.293, 0.488)
O (0.589, 0.893, 0.381)
O (0.619, 0.707, 0.512)
O (0.411, 0.107, 0.619)
O (0.119, 0.607, 0.911)
O (0.012, 0.207, 0.119)
O (0.881, 0.393, 0.089)
O (0.988, 0.793, 0.881)
O (0.304, 0.893, 0.012)
O (0.911, 0.293, 0.304)
O (0.696, 0.107, 0.988)
O (0.089, 0.707, 0.696)
O (0.196, 0.207, 0.589)
O (0.488, 0.607, 0.196)
O (0.804, 0.793, 0.411)
O (0.512, 0.393, 0.804)
O (0.293, 0.304, 0.911)
O (0.707, 0.696, 0.089)
O (0.207, 0.119, 0.012)
O (0.793, 0.881, 0.988)
O (0.893, 0.381, 0.589)
O (0.107, 0.619, 0.411)
O (0.607, 0.196, 0.488)
O (0.393, 0.804, 0.512)

An optimized crystal structure of RbNaPb. Source: Alexandria via LeMat-Bulk, functional PBE.

Values from the calculation:
Energy above the lowest structure with this stoichiometry ... 201 meV/atom
DFT formation energy ... 69.2 meV per atom
Space-group type ... Cmmm
Crystal system ... orthorhombic

a = 5.571 Å, b = 7.512 Å, c = 7.512 Å
α = 107.50°, β = 90.00°, γ = 90.00°
Sites, in units of the cell vectors:
Na (0.000, 0.000, 0.000)
Na (0.500, 0.500, 0.500)
Pb (0.000, 0.666, 0.666)
Pb (0.000, 0.334, 0.334)
Rb (0.500, 0.211, 0.789)
Rb (0.500, 0.789, 0.211)

An optimized crystal structure of Li2CrCo. Source: Alexandria via LeMat-Bulk, functional PBE.

Values from the calculation:
Energy above the lowest structure with this stoichiometry ... 95 meV/atom
DFT formation energy ... 354.2 meV per atom
Space-group type ... Pmmm
Crystal system ... orthorhombic

a = 2.651 Å, b = 4.015 Å, c = 4.545 Å
α = 90.00°, β = 90.00°, γ = 90.00°
Site moments in Bohr magnetons follow the coordinates.
Sites, in units of the cell vectors:
Co (0.500, 0.000, 0.500)  -0.11
Cr (0.000, 0.500, 0.500)  1.55
Li (0.000, 0.000, 0.000)  -0.03
Li (0.500, 0.500, 0.000)  -0.01

An optimized crystal structure of Pm6CoPd3. Source: Alexandria via LeMat-Bulk, functional PBE.

Values from the calculation:
DFT formation energy ... -405.0 meV per atom
Space-group type ... R-3
Crystal system ... trigonal

a = 8.372 Å, b = 8.372 Å, c = 8.372 Å
α = 98.56°, β = 98.56°, γ = 98.56°
Sites, in units of the cell vectors:
Pm (0.315, 0.964, 0.071)
Pm (0.036, 0.929, 0.685)
Pm (0.579, 0.813, 0.429)
Pm (0.929, 0.685, 0.036)
Pm (0.429, 0.579, 0.813)
Pm (0.187, 0.571, 0.421)
Pm (0.813, 0.429, 0.579)
Pm (0.571, 0.421, 0.187)
Pm (0.071, 0.315, 0.964)
Pm (0.421, 0.187, 0.571)
Pm (0.964, 0.071, 0.315)
Pm (0.685, 0.036, 0.929)
Co (0.000, 0.000, 0.000)
Co (0.500, 0.500, 0.500)
Pd (0.375, 0.875, 0.698)
Pd (0.875, 0.698, 0.375)
Pd (0.302, 0.625, 0.125)
Pd (0.698, 0.375, 0.875)
Pd (0.125, 0.302, 0.625)
Pd (0.625, 0.125, 0.302)

An optimized crystal structure of Ce2PrNi2Ge2. Source: Alexandria via LeMat-Bulk, functional PBE.

Values from the calculation:
DFT formation energy ... -633.2 meV per atom
Space-group type ... R-3m
Crystal system ... trigonal

a = 4.254 Å, b = 4.254 Å, c = 9.380 Å
α = 76.89°, β = 76.89°, γ = 60.00°
Site moments in Bohr magnetons follow the coordinates.
Sites, in units of the cell vectors:
Ce (0.138, 0.138, 0.585)  0.33
Ce (0.862, 0.862, 0.415)  0.33
Pr (0.000, 0.000, 0.000)  0.01
Ni (0.584, 0.584, 0.249)  -0.01
Ni (0.416, 0.416, 0.751)  -0.01
Ge (0.740, 0.740, 0.781)  -0.01
Ge (0.260, 0.260, 0.219)  -0.01

An optimized crystal structure of Cs2ScGe2Se6. Source: Alexandria via LeMat-Bulk, functional PBE.

Values from the calculation:
Space-group type ... C2/m
Crystal system ... monoclinic
Formation energy (no corrections) ... -8.6 eV/f.u.

a = 7.470 Å, b = 7.478 Å, c = 8.779 Å
α = 110.99°, β = 90.00°, γ = 119.96°
Sites, in units of the cell vectors:
Cs (0.709, 0.418, 0.166)
Cs (0.291, 0.582, 0.834)
Sc (0.500, 0.000, 0.500)
Ge (0.906, 0.812, 0.660)
Ge (0.094, 0.188, 0.340)
Se (0.732, 0.464, 0.685)
Se (0.243, 0.964, 0.256)
Se (0.280, 0.036, 0.744)
Se (0.757, 0.036, 0.744)
Se (0.720, 0.964, 0.256)
Se (0.268, 0.536, 0.315)

An optimized crystal structure of Dy2Ga2Co5Ge. Source: Alexandria via LeMat-Bulk, functional PBE.

Values from the calculation:
DFT formation energy ... -236.4 meV per atom
Space-group type ... P4/mbm
Crystal system ... tetragonal

a = 3.317 Å, b = 9.449 Å, c = 9.449 Å
α = 90.00°, β = 90.00°, γ = 90.00°
Sites, in units of the cell vectors:
Dy (0.000, 0.674, 0.174)
Dy (0.000, 0.326, 0.826)
Dy (0.000, 0.174, 0.326)
Dy (0.000, 0.826, 0.674)
Ga (0.000, 0.124, 0.624)
Ga (0.000, 0.876, 0.376)
Ga (0.000, 0.624, 0.876)
Ga (0.000, 0.376, 0.124)
Co (0.500, 0.199, 0.061)
Co (0.500, 0.801, 0.939)
Co (0.500, 0.061, 0.801)
Co (0.500, 0.699, 0.439)
Co (0.500, 0.939, 0.199)
Co (0.500, 0.301, 0.561)
Co (0.500, 0.561, 0.699)
Co (0.500, 0.439, 0.301)
Co (0.500, 0.500, 0.000)
Co (0.500, 0.000, 0.500)
Ge (0.000, 0.000, 0.000)
Ge (0.000, 0.500, 0.500)